(1)
VASP calculation (GGA-PBE) on a relaxed Hf2IrOs2 crystal.

Properties
formation energy from the elements	-0.29	eV per atom

abc: 6.652 6.652 4.064
angles: 90.00 90.00 90.00
Space group P4/mbm (No. 127)
Asymmetric unit:
Hf1 0.181 0.319 0.000
Ir1 0.000 0.000 0.500
Os1 0.128 0.628 0.500



(2)
VASP calculation (GGA-PBE) on a relaxed TbNi3Ge3 crystal.

Properties
energy relative to the lowest polymorph listed for this composition	0	meV/atom
formation energy from the elements	-0.39	eV per atom

abc: 8.2325 8.2325 4.0672
angles: 90.00 90.00 120.00
Space group P6_3/m (No. 176)
Asymmetric unit:
Tb1 0.3333 0.6667 0.2500
Ni1 0.0681 0.2134 0.2500
Ge1 0.1045 0.3803 0.7500



(3)
VASP calculation (GGA-PBE) on a relaxed Na2P2H12O11F2 crystal.

Properties
calculated total energy	-5.419	eV/atom

abc: 19.350 5.354 12.714
angles: 90.00 108.67 90.00
Space group C2/c (No. 15)
Asymmetric unit:
Na1 0.022 0.092 0.382
P1 0.163 0.168 0.779
H1 0.040 0.452 0.756
H2 0.087 0.356 0.018
H3 0.114 0.112 0.087
H4 0.153 0.413 0.439
H5 0.154 0.285 0.552
H6 0.237 0.498 0.316
O1 0.000 0.429 0.250
O2 0.070 0.190 0.036
O3 0.084 0.132 0.767
O4 0.123 0.367 0.484
O5 0.187 0.442 0.820
O6 0.188 0.093 0.681
F1 0.211 0.002 0.881



(4)
VASP calculation (GGA-PBE) on a relaxed CaMg2Cd3 crystal.

Properties
energy relative to the lowest polymorph listed for this composition	47	meV/atom
formation energy from the elements	-0.15	eV per atom

abc: 11.130 8.792 6.265
angles: 90.00 90.00 90.00
Space group Cmcm (No. 63)
Asymmetric unit:
Ca1 0.000 0.146 0.250
Mg1 0.222 0.500 0.000
Cd1 0.000 0.488 0.750
Cd2 0.139 0.209 0.750



(5)
VASP calculation (GGA-PBE) on a relaxed AlGeSN2 crystal.

Properties
energy relative to the elements, uncorrected	622	meV/atom
energy relative to the lowest polymorph listed for this composition	0	meV/atom

abc: 3.720 3.720 5.211
angles: 90.00 90.00 90.00
Space group P4/mmm (No. 123)
Asymmetric unit:
Al1 0.000 0.000 0.000
Ge1 0.500 0.500 0.500
S1 0.000 0.000 0.500
N1 0.000 0.500 0.000



(6)
VASP calculation (GGA-PBE) on a relaxed LiYCuGe crystal.

Properties
formation energy from the elements	-0.39	eV per atom

abc: 6.668 6.668 6.668
angles: 90.00 90.00 90.00
Space group F-43m (No. 216)
Asymmetric unit:
Li1 0.000 0.000 0.000
Y1 0.000 0.000 0.500
Cu1 0.250 0.250 0.750
Ge1 0.250 0.250 0.250



(7)
VASP calculation (GGA-PBE) on a relaxed Ca3Ga2Pt2 crystal.

Properties
formation energy from the elements	-0.87	eV per atom

abc: 5.804 7.870 13.957
angles: 90.00 90.00 90.00
Space group Pbcm (No. 57)
Asymmetric unit:
Ca1 0.128 0.245 0.250
Ca2 0.356 0.605 0.598
Ga1 0.123 0.250 0.000
Ga2 0.361 0.593 0.250
Pt1 0.139 0.532 0.095



(8)
VASP calculation (GGA-PBE) on a relaxed CsTl2Cd2 crystal.

Properties
energy relative to the lowest polymorph listed for this composition	20	meV/atom
formation energy from the elements	-0.04	eV per atom

abc: 5.230 5.230 13.088
angles: 90.00 90.00 90.00
Space group I4/mmm (No. 139)
Asymmetric unit:
Cs1 0.000 0.000 0.000
Tl1 0.000 0.000 0.373
Cd1 0.000 0.500 0.250